(1)
Computed, not measured: a geometry-optimized CsNbPt3 structure at the PBE-GGA level of DFT.

abc: 5.1063 5.1063 5.1063
angles: 90.00 90.00 90.00
With the nearest neighbours (Å) after each atom.
Atoms (fractional coordinates):
Cs 0.0000 0.0000 0.0000  6 Pt 2.55
Nb 0.5000 0.5000 0.5000  12 Pt 3.61
Pt 0.0000 0.0000 0.5000  2 Cs 2.55
Pt 0.0000 0.5000 0.0000  2 Cs 2.55
Pt 0.5000 0.0000 0.0000  2 Cs 2.55

Output
Total moment: 3.31 μB/cell
Energy above the most stable polymorph in this dataset: 1846 meV/atom
Formation energy from the elements: 11.71 eV/f.u.
Electronic total energy: -17.33 eV/cell

---

(2)
Computed, not measured: a geometry-optimized HfH2WCl structure at the PBE-GGA level of DFT.

abc: 3.7260 3.7260 5.3589
angles: 90.00 90.00 90.00
With the nearest neighbours (Å) after each atom.
Atoms (fractional coordinates):
Hf 0.0000 0.0000 0.0000  4 H 1.86
H 0.0000 0.5000 0.0000  2 Hf 1.86
H 0.5000 0.0000 0.0000  2 Hf 1.86
W 0.0000 0.0000 0.5000  4 Cl 2.63, 2 Hf 2.68
Cl 0.5000 0.5000 0.5000  4 W 2.63

Output
Total moment: 0.00 μB/cell
Electronic total energy: -27.95 eV/cell

---

(3)
Computed, not measured: a geometry-optimized DyYTe structure at the PBE-GGA level of DFT.

abc: 8.2483 3.9443 10.6603
angles: 90.00 90.00 90.00
With the nearest neighbours (Å) after each atom.
Atoms (fractional coordinates):
Dy 0.1583 0.2500 0.0551  4 Te 3.13-3.19, 2 Dy 3.48
Dy 0.3417 0.7500 0.5551  4 Te 3.13-3.19, 2 Dy 3.48
Dy 0.6583 0.2500 0.4449  4 Te 3.13-3.19, 2 Dy 3.48
Dy 0.8417 0.7500 0.9449  4 Te 3.13-3.19, 2 Dy 3.48
Y 0.0029 0.7500 0.3375  4 Te 3.13-3.16
Y 0.4971 0.2500 0.8375  4 Te 3.13-3.16
Y 0.5029 0.7500 0.1625  4 Te 3.13-3.16
Y 0.9971 0.2500 0.6625  4 Te 3.13-3.16
Te 0.1982 0.7500 0.8295  4 Dy 3.13-3.19, 4 Y 3.13-3.16
Te 0.3018 0.2500 0.3295  4 Dy 3.13-3.19, 4 Y 3.13-3.16
Te 0.6982 0.7500 0.6705  4 Dy 3.13-3.19, 4 Y 3.13-3.16
Te 0.8018 0.2500 0.1705  4 Dy 3.13-3.19, 4 Y 3.13-3.16

Output
Total moment: 0.00 μB/cell
Formation energy from raw total energies: -867 meV per atom
Energy above the most stable polymorph in this dataset: 0 meV/atom
Electronic total energy: -67.23 eV/cell

---

(4)
Computed, not measured: a geometry-optimized Tl7Te3Se structure at the PBE-GGA level of DFT.

abc: 9.6684 9.6684 9.9087
angles: 90.00 90.00 59.14
With the nearest neighbours (Å) after each atom.
Atoms (fractional coordinates):
Tl 0.0532 0.6670 0.0646  1 Se 3.06, 1 Te 3.39
Tl 0.0532 0.6670 0.4354  1 Se 3.06, 1 Te 3.39
Tl 0.1639 0.8361 0.7500  2 Se 2.93
Tl 0.3202 0.4243 0.7500  4 Te 3.26-3.50, 1 Tl 3.46
Tl 0.3330 0.9468 0.0646  1 Se 3.06, 1 Te 3.39
Tl 0.3330 0.9468 0.4354  1 Se 3.06, 1 Te 3.39
Tl 0.4243 0.3202 0.2500  4 Te 3.26-3.50, 1 Tl 3.46
Tl 0.5757 0.6798 0.7500  4 Te 3.26-3.50, 1 Tl 3.46
Tl 0.6670 0.0532 0.5646  1 Se 3.06, 1 Te 3.39
Tl 0.6670 0.0532 0.9354  1 Se 3.06, 1 Te 3.39
Tl 0.6798 0.5757 0.2500  4 Te 3.26-3.50, 1 Tl 3.46
Tl 0.8361 0.1639 0.2500  2 Se 2.93
Tl 0.9468 0.3330 0.5646  1 Se 3.06, 1 Te 3.39
Tl 0.9468 0.3330 0.9354  1 Se 3.06, 1 Te 3.39
Te 0.0958 0.3047 0.2500  7 Tl 3.26-3.53
Te 0.3047 0.0958 0.7500  7 Tl 3.26-3.53
Te 0.5000 0.5000 0.0000  4 Tl 3.32
Te 0.5000 0.5000 0.5000  4 Tl 3.32
Te 0.6953 0.9042 0.2500  7 Tl 3.26-3.53
Te 0.9042 0.6953 0.7500  7 Tl 3.26-3.53
Se 0.0000 0.0000 0.0000  6 Tl 2.93-3.06
Se 0.0000 0.0000 0.5000  6 Tl 2.93-3.06

Output
Total moment: 0.00 μB/cell
Formation energy from raw total energies: -263 meV per atom
Electronic total energy: -64.74 eV/cell

---

(5)
Computed, not measured: a geometry-optimized KBeSe2 structure at the PBE-GGA level of DFT.

abc: 3.2577 3.2577 7.9551
angles: 90.00 90.00 90.00
With the nearest neighbours (Å) after each atom.
Atoms (fractional coordinates):
K 0.0000 0.0000 0.0000  4 K 3.26, 8 Se 3.37
Be 0.0000 0.0000 0.5000  8 Se 2.76
Se 0.5000 0.5000 0.3092  4 Be 2.76, 1 Se 3.04
Se 0.5000 0.5000 0.6908  4 Be 2.76, 1 Se 3.04

Output
Total moment: 0.00 μB/cell
Formation energy from raw total energies: -69 meV per atom
Electronic total energy: -12.07 eV/cell

---

(6)
Computed, not measured: a geometry-optimized Sn3AsSe3 structure at the PBE-GGA level of DFT.

abc: 8.3300 4.0110 11.4640
angles: 90.00 90.67 90.00
With the nearest neighbours (Å) after each atom.
Atoms (fractional coordinates):
Sn 0.1251 0.2500 0.1238  3 As 2.88, 3 Se 2.93-2.95
Sn 0.1323 0.2500 0.6225  5 Se 2.77-2.86, 1 As 2.87
Sn 0.3721 0.7500 0.8610  4 Se 2.79-3.10, 2 As 2.89
Sn 0.6279 0.2500 0.1390  4 Se 2.79-3.10, 2 As 2.89
Sn 0.8677 0.7500 0.3775  5 Se 2.77-2.86, 1 As 2.87
Sn 0.8749 0.7500 0.8762  3 As 2.88, 3 Se 2.93-2.95
As 0.1236 0.2500 0.8724  6 Sn 2.87-2.89
As 0.8764 0.7500 0.1276  6 Sn 2.87-2.89
Se 0.1119 0.2500 0.3805  4 Sn 2.78-2.95
Se 0.3613 0.7500 0.6180  3 Sn 2.77-2.79
Se 0.3818 0.7500 0.1311  5 Sn 2.87-3.10
Se 0.6182 0.2500 0.8689  5 Sn 2.87-3.10
Se 0.6387 0.2500 0.3820  3 Sn 2.77-2.79
Se 0.8881 0.7500 0.6195  4 Sn 2.78-2.95

Output
Total moment: 0.00 μB/cell
Formation energy from raw total energies: -258 meV per atom
Electronic total energy: -57.84 eV/cell